#w
Density functional theory data (PBE) for a relaxed AcTlZn crystal.

Unit cell a=5.058 b=5.058 c=5.058 alpha=60.00 beta=60.00 gamma=60.00
Fractional positions:
Zn (0.250, 0.250, 0.250)
Tl (0.500, 0.500, 0.500)
Ac (0.000, 0.000, 0.000)

Calculated values
The density of states at the Fermi level is 1.4 states/eV/f.u. The crystal system is cubic.


#x
Density functional theory data (PBE) for a relaxed AcTlZn crystal.

Unit cell a=3.768 b=3.768 c=6.623 alpha=106.53 beta=106.53 gamma=90.00
Fractional positions:
Tl (0.640, 0.640, 0.280)
Zn (0.270, 0.270, 0.539)
Ac (0.940, 0.940, 0.880)

Calculated values
The density of states at the Fermi level is 3.0 states/eV/f.u. The crystal system is tetragonal.


Which structure wins on stability? #w wins.


#w
Density functional theory data (PBE) for a relaxed Ac3TlZn crystal.

Unit cell a=8.060 b=8.060 c=8.060 alpha=90.00 beta=90.00 gamma=90.00
Site moments in Bohr magnetons follow the coordinates.
Fractional positions:
Ac (0.234, 0.766, 0.234)  0.05
Tl (0.500, 0.500, 0.000)  0.00
Ac (0.234, 0.234, 0.766)  0.05
Zn (0.500, 0.000, 0.000)  0.00
Ac (0.234, 0.766, 0.766)  0.05
Zn (0.000, 0.500, 0.000)  0.00
Ac (0.766, 0.766, 0.766)  0.05
Tl (0.500, 0.000, 0.500)  0.00
Tl (0.000, 0.500, 0.500)  0.00
Ac (0.766, 0.766, 0.234)  0.05
Ac (0.500, 0.500, 0.500)  0.26
Zn (0.000, 0.000, 0.500)  0.00
Ac (0.766, 0.234, 0.234)  0.05
Ac (0.234, 0.234, 0.234)  0.05
Ac (0.766, 0.234, 0.766)  0.05

Calculated values
The density of states at the Fermi level is 5.4 states/eV/f.u. The crystal system is cubic.


#x
Density functional theory data (PBE) for a relaxed Ac3TlZn crystal.

Unit cell a=5.740 b=5.736 c=11.117 alpha=90.00 beta=75.04 gamma=90.00
Fractional positions:
Tl (0.980, 0.250, 0.688)
Ac (0.258, 0.750, 0.133)
Tl (0.668, 0.750, 0.312)
Zn (0.477, 0.750, 0.694)
Ac (0.391, 0.250, 0.867)
Ac (0.575, 0.250, 0.497)
Ac (0.888, 0.750, 0.872)
Ac (0.073, 0.750, 0.503)
Zn (0.171, 0.250, 0.306)
Ac (0.760, 0.250, 0.128)

Calculated values
The density of states at the Fermi level is 6.6 states/eV/f.u. The crystal system is orthorhombic.


Which structure wins on stability? #x wins.